{
  "formula": "HfTc2W",
  "functional": "PBE-GGA",
  "state": "optimized geometry",
  "de_polymorph_ev_per_fu": 0.104,
  "energy_ev_per_atom": -11.23,
  "lattice": [[4.5143, 0.0000, 0.0000], [0.0000, 4.5143, 0.0000], [0.0000, 0.0000, 3.1865]],
  "species": ["Hf", "Tc", "Tc", "W"],
  "frac_coords": [[0.0000, 0.0000, 0.0000], [0.0000, 0.5000, 0.5000], [0.5000, 0.0000, 0.5000], [0.5000, 0.5000, 0.0000]]
}